Computed, not measured: a geometry-optimized Ta4Sb5 structure at the PBE-GGA level of DFT.

The calculation puts the theoretical density at 11.58 g/cm3. The calculation puts the formation energy (no corrections) at 3.441 eV per formula unit. The calculated total energy comes out at -7.176 eV per atom.

Lattice parameters (Å, degrees): 8.7646 8.7646 5.7439 90.00 90.00 120.00
Positions (direct):
Ta 0.0000 0.0000 0.0000
Ta 0.0000 0.0000 0.5000
Ta 0.0000 0.3596 0.2500
Ta 0.0000 0.6404 0.7500
Ta 0.3596 0.0000 0.2500
Ta 0.3596 0.3596 0.7500
Ta 0.6404 0.0000 0.7500
Ta 0.6404 0.6404 0.2500
Sb 0.0000 0.2897 0.7500
Sb 0.0000 0.7103 0.2500
Sb 0.2897 0.0000 0.7500
Sb 0.2897 0.2897 0.2500
Sb 0.3333 0.6667 0.0000
Sb 0.3333 0.6667 0.5000
Sb 0.6667 0.3333 0.0000
Sb 0.6667 0.3333 0.5000
Sb 0.7103 0.0000 0.2500
Sb 0.7103 0.7103 0.7500